Tm5Mg4Pb | PBE-GGA | optimized geometry

```
Tm5Mg4Pb
1.0
3.796 0.000 0.000
0.000 3.796 0.000
0.000 0.000 18.350
Tm Mg Pb
5 4 1
direct
0.000 0.000 0.000
0.000 0.000 0.200
0.000 0.000 0.398
0.000 0.000 0.602
0.000 0.000 0.800
0.500 0.500 0.100
0.500 0.500 0.296
0.500 0.500 0.704
0.500 0.500 0.900
0.500 0.500 0.500
```

Properties
N(E_F)   0.84 states/eV/atom
Energy relative to the elements   -0.135 eV/atom
Total magnetization   0.0 μB/f.u.